# 1
{
  "formula": "NaPd2Pb",
  "functional": "GGA-PBE",
  "state": "optimized geometry",
  "cell": [[4.3329, 0.0000, 0.0000], [0.0000, 4.3329, 0.0000], [0.0000, 0.0000, 4.0128]],
  "species": ["Na", "Pd", "Pd", "Pb"],
  "frac_coords": [[0.0000, 0.0000, 0.0000], [0.0000, 0.5000, 0.5000], [0.5000, 0.0000, 0.5000], [0.5000, 0.5000, 0.0000]],
  "spacegroup": "P4/mmm (123)",
  "crystal_system": "tetragonal",
  "e_form_ev_per_atom": -0.204
}

=====

# 2
{
  "formula": "NpTlNiTe3",
  "functional": "GGA-PBE",
  "state": "optimized geometry",
  "cell": [[9.8147, 0.0000, 0.0000], [0.0000, 4.2088, 0.0000], [-3.4386, 0.0000, 9.3654]],
  "species": ["Np", "Np", "Tl", "Tl", "Ni", "Ni", "Te", "Te", "Te", "Te", "Te", "Te"],
  "frac_coords": [[0.1836, 0.2500, 0.1584], [0.8164, 0.7500, 0.8416], [0.2993, 0.7500, 0.7735], [0.7007, 0.2500, 0.2265], [0.4160, 0.7500, 0.4097], [0.5840, 0.2500, 0.5903], [0.0410, 0.2500, 0.8291], [0.3102, 0.2500, 0.4804], [0.3983, 0.7500, 0.1418], [0.6017, 0.2500, 0.8582], [0.6898, 0.7500, 0.5196], [0.9590, 0.7500, 0.1709]],
  "spacegroup": "P2_1/m (11)",
  "crystal_system": "monoclinic",
  "formation_energy_uncorrected_ev_per_atom": -0.41
}

=====

# 3
{
  "formula": "Ta8C2N",
  "functional": "GGA-PBE",
  "state": "optimized geometry",
  "cell": [[4.8036, -3.6789, 0.0000], [4.8036, 3.6789, 0.0000], [-0.1964, 0.0000, 4.6505]],
  "species": ["Ta", "Ta", "Ta", "Ta", "Ta", "Ta", "Ta", "Ta", "C", "C", "N"],
  "frac_coords": [[0.1135, 0.1135, 0.2567], [0.1709, 0.5965, 0.2613], [0.3393, 0.3393, 0.7788], [0.4035, 0.8291, 0.7387], [0.5965, 0.1709, 0.2613], [0.6607, 0.6607, 0.2212], [0.8291, 0.4035, 0.7387], [0.8865, 0.8865, 0.7433], [0.1135, 0.1135, 0.7594], [0.8865, 0.8865, 0.2406], [0.5000, 0.5000, 0.5000]],
  "spacegroup": "C2/m (12)",
  "crystal_system": "monoclinic",
  "formation_energy_uncorrected_ev_per_atom": -0.48
}

=====

# 4
{
  "formula": "FeAsSe2",
  "functional": "GGA-PBE",
  "state": "optimized geometry",
  "cell": [[-1.8078, 1.8078, 7.1168], [1.8078, -1.8078, 7.1168], [1.8078, 1.8078, -7.1168]],
  "species": ["Fe", "As", "Se", "Se"],
  "frac_coords": [[0.0000, 0.0000, 0.0000], [0.7500, 0.2500, 0.5000], [0.2500, 0.7500, 0.5000], [0.5000, 0.5000, 0.0000]],
  "spacegroup": "I-4m2 (119)",
  "crystal_system": "tetragonal",
  "formation_energy_uncorrected_ev_per_atom": 0.39
}

=====

# 5
{
  "formula": "Mn2IrRu",
  "functional": "GGA-PBE",
  "state": "optimized geometry",
  "cell": [[2.6524, 0.0000, 0.0000], [0.0000, 3.6523, 0.0000], [0.0000, 0.0000, 5.3039]],
  "species": ["Mn", "Mn", "Ir", "Ru"],
  "frac_coords": [[0.0000, 0.0000, 0.2480], [0.0000, 0.0000, 0.7520], [0.5000, 0.5000, 0.5000], [0.5000, 0.5000, 0.0000]],
  "spacegroup": "Pmmm (47)",
  "crystal_system": "orthorhombic",
  "e_form_ev_per_atom": -0.026
}

=====

# 6
{
  "formula": "Zn3Ge2",
  "functional": "GGA-PBE",
  "state": "optimized geometry",
  "cell": [[3.6143, 2.0867, 4.0303], [-3.6143, 2.0867, 4.0303], [0.0000, -4.1734, 4.0303]],
  "species": ["Zn", "Zn", "Zn", "Zn", "Zn", "Zn", "Ge", "Ge", "Ge", "Ge"],
  "frac_coords": [[0.0461, 0.7500, 0.4539], [0.2500, 0.5461, 0.9539], [0.4539, 0.0461, 0.7500], [0.5461, 0.9539, 0.2500], [0.7500, 0.4539, 0.0461], [0.9539, 0.2500, 0.5461], [0.1128, 0.1128, 0.1128], [0.3872, 0.3872, 0.3872], [0.6128, 0.6128, 0.6128], [0.8872, 0.8872, 0.8872]],
  "spacegroup": "R-3c (167)",
  "crystal_system": "trigonal",
  "e_form_ev_per_atom": 0.164
}

=====

no.,raw total energy (eV per atom)
1,-4.06
2,-5.50
3,-11.53
4,-4.63
5,-9.14
6,-2.45